# Li4Ti3Cr5O16

Li4Ti3Cr5O16 after structural relaxation (PBE+U, Alexandria).

Properties
Its density of states at the Fermi level is 2.413 states/eV/f.u. The total energy is -7.604 eV/atom. The crystal system is monoclinic.

abc: 10.2092 5.9185 9.5666
angles: 90.00 90.23 90.00
With the nearest neighbours (Å) after each atom.
Space group Cm (No. 8)
Inequivalent atoms, fractional coordinates:
Li  0.0000  0.0000  0.0000 (multiplicity 2)  3 O 1.78-1.95
Li  0.0065  0.0000  0.5037 (multiplicity 2)  3 O 1.78-1.94
Li  0.1695  0.5000  0.8979 (multiplicity 2)  4 O 1.98-2.02
Li  0.3353  0.0000  0.4006 (multiplicity 2)  4 O 1.98-1.99
Ti  0.0878  0.2525  0.2187 (multiplicity 4)  6 O 1.96-2.01
Ti  0.1736  0.0000  0.7232 (multiplicity 2)  6 O 1.94-2.03
Cr  0.1694  0.5000  0.4910 (multiplicity 2)  6 O 2.05-2.07
Cr  0.3330  0.5000  0.2191 (multiplicity 2)  6 O 1.99-2.06
Cr  0.3398  0.0000  0.9886 (multiplicity 2)  6 O 2.04-2.10
Cr  0.4184  0.2464  0.7150 (multiplicity 4)  6 O 1.98-2.03
O  0.0043  0.0000  0.8145 (multiplicity 2)  1 Li 1.78, 1 Ti 1.94, 2 Cr 1.98
O  0.0050  0.0000  0.3175 (multiplicity 2)  1 Li 1.78, 2 Ti 1.96, 1 Cr 1.99
O  0.0231  0.5000  0.3439 (multiplicity 2)  1 Li 1.99, 2 Ti 2.01, 1 Cr 2.05
O  0.0862  0.2464  0.6079 (multiplicity 4)  1 Li 1.94, 2 Cr 2.00-2.06, 1 Ti 2.03
O  0.1652  0.5000  0.1086 (multiplicity 2)  2 Ti 1.97, 1 Cr 2.01, 1 Li 2.02
O  0.1687  0.0000  0.1096 (multiplicity 2)  2 Ti 2.00, 1 Li 2.01, 1 Cr 2.10
O  0.2406  0.2783  0.3459 (multiplicity 4)  1 Li 1.98, 1 Ti 1.98, 2 Cr 2.02-2.05
O  0.2627  0.2195  0.8452 (multiplicity 4)  1 Ti 1.97, 1 Li 1.98, 2 Cr 2.03-2.04
O  0.3315  0.0000  0.6074 (multiplicity 2)  1 Ti 1.96, 1 Li 1.98, 2 Cr 1.99
O  0.3384  0.5000  0.6111 (multiplicity 2)  3 Cr 1.98-2.07, 1 Li 2.00
O  0.4262  0.2512  0.1074 (multiplicity 4)  1 Li 1.95, 1 Ti 1.96, 2 Cr 2.06-2.07
O  0.4817  0.0000  0.8397 (multiplicity 2)  3 Cr 1.99-2.04, 1 Li 1.99